[1]
Density functional theory data (PBE-GGA) for a relaxed Nd2Al5Cu3 crystal.

ρ: 5.46 g cm⁻³
Energy of formation from the pure elements: -445.0 meV per atom
Space-group type: Ibam, No. 72

Cell lengths 5.992, 8.479, 8.479 Å; angles 76.00, 69.31, 69.31 degrees
Atoms (fractional coordinates):
Nd: 0.370 0.874 0.386
Al: 0.003 0.247 0.247
Al: 0.390 0.253 0.968
Al: 0.503 0.247 0.247
Al: 0.610 0.747 0.032
Al: 0.997 0.753 0.753
Cu: 0.874 0.751 0.502
Cu: 0.250 0.000 0.000
Nd: 0.630 0.126 0.614
Cu: 0.374 0.502 0.751
Al: 0.497 0.753 0.753
Al: 0.250 0.500 0.500
Al: 0.110 0.032 0.747
Nd: 0.870 0.386 0.874
Cu: 0.750 0.000 0.000
Cu: 0.126 0.249 0.498
Cu: 0.626 0.498 0.249
Al: 0.750 0.500 0.500
Nd: 0.130 0.614 0.126
Al: 0.890 0.968 0.253

***

[2]
Density functional theory data (PBE-GGA) for a relaxed ThCo4Au crystal.

ρ: 12.14 g cm⁻³
Energy of formation from the pure elements: -127.1 meV per atom
Space-group type: F-43m, No. 216

Cell lengths 5.047, 5.047, 5.047 Å; angles 60.00, 60.00, 60.00 degrees
Each line ends with the local moment (μB).
Atoms (fractional coordinates):
Au: 0.000 0.000 0.000  -0.02
Co: 0.626 0.626 0.123  1.33
Th: 0.250 0.250 0.250  -0.28
Co: 0.123 0.626 0.626  1.33
Co: 0.626 0.123 0.626  1.33
Co: 0.626 0.626 0.626  1.33

***

[3]
Density functional theory data (PBE-GGA) for a relaxed InAg2Ge crystal.

ρ: 7.92 g cm⁻³
Energy of formation from the pure elements: 198.5 meV per atom
Space-group type: R-3m, No. 166

Cell lengths 3.089, 3.089, 10.377 Å; angles 81.44, 81.44, 60.00 degrees
Atoms (fractional coordinates):
Ag: 0.906 0.906 0.281
Ge: 0.500 0.500 0.500
Ag: 0.094 0.094 0.719
In: 0.000 0.000 0.000

***

[4]
Density functional theory data (PBE-GGA) for a relaxed YTeN2F crystal.

Polymorph energy (0 for the lowest one): 0.0 meV per atom
ρ: 5.65 g cm⁻³
Energy relative to the elements, uncorrected: -0.1379 eV per atom
Space-group type: P4/mmm, No. 123

Cell lengths 4.284, 4.284, 4.219 Å; angles 90.00, 90.00, 90.00 degrees
Atoms (fractional coordinates):
F: 0.000 0.000 0.500
Y: 0.500 0.500 0.500
N: 0.000 0.500 0.000
Te: 0.000 0.000 0.000
N: 0.500 0.000 0.000

***

[5]
Density functional theory data (PBE-GGA) for a relaxed Cd2AgCl crystal.

Polymorph energy (0 for the lowest one): 213.1 meV per atom
ρ: 6.56 g cm⁻³
Energy relative to the elements, uncorrected: -0.0500 eV per atom
Space-group type: I4/mmm, No. 139

Cell lengths 6.307, 6.307, 6.307 Å; angles 142.31, 142.31, 54.37 degrees
Atoms (fractional coordinates):
Cd: 0.500 0.500 0.000
Cl: 0.250 0.750 0.500
Ag: 0.750 0.250 0.500
Cd: 0.000 0.000 0.000

***

[6]
Density functional theory data (PBE-GGA) for a relaxed Cs3Hg9Pb2 crystal.

ρ: 8.76 g cm⁻³
Energy of formation from the pure elements: -180.4 meV per atom
Space-group type: Immm, No. 71

Cell lengths 5.700, 10.215, 10.215 Å; angles 61.92, 73.80, 73.80 degrees
Atoms (fractional coordinates):
Hg: 0.140 0.563 0.157
Hg: 0.140 0.157 0.563
Cs: 0.000 0.000 0.000
Cs: 0.722 0.278 0.278
Hg: 0.860 0.843 0.437
Cs: 0.278 0.722 0.722
Hg: 0.860 0.437 0.843
Hg: 0.657 0.689 0.998
Hg: 0.657 0.998 0.689
Pb: 0.500 0.654 0.346
Hg: 0.343 0.311 0.002
Pb: 0.500 0.346 0.654
Hg: 0.000 0.500 0.500
Hg: 0.343 0.002 0.311

***

[7]
Density functional theory data (PBE-GGA) for a relaxed Rh2AuCl crystal.

Polymorph energy (0 for the lowest one): 107.2 meV per atom
ρ: 8.82 g cm⁻³
Energy relative to the elements, uncorrected: 0.3019 eV per atom
Space-group type: Cm, No. 8

Cell lengths 6.484, 6.484, 4.564 Å; angles 89.73, 89.73, 25.47 degrees
Each line ends with the local moment (μB).
Atoms (fractional coordinates):
Au: 0.457 0.457 0.502  0.06
Rh: 0.014 0.014 0.001  0.30
Rh: 0.343 0.343 0.003  0.24
Cl: 0.686 0.686 0.994  0.01

***

[8]
Density functional theory data (PBE-GGA) for a relaxed YPuAu2 crystal.

Polymorph energy (0 for the lowest one): 38.5 meV per atom
ρ: 12.61 g cm⁻³
Energy of formation from the pure elements: -591.5 meV per atom
Space-group type: Fm-3m, No. 225

Cell lengths 5.134, 5.134, 5.134 Å; angles 60.00, 60.00, 60.00 degrees
Each line ends with the local moment (μB).
Atoms (fractional coordinates):
Y: 0.500 0.500 0.500  0.08
Au: 0.750 0.750 0.750  0.01
Au: 0.250 0.250 0.250  0.01
Pu: 0.000 0.000 0.000  5.32

***

[9]
Density functional theory data (PBE-GGA) for a relaxed In3NiSn crystal.

Polymorph energy (0 for the lowest one): 1028.8 meV per atom
ρ: 4.87 g cm⁻³
Energy of formation from the pure elements: 1013.6 meV per atom
Space-group type: Pm-3m, No. 221

Cell lengths 5.625, 5.625, 5.625 Å; angles 90.00, 90.00, 90.00 degrees
Atoms (fractional coordinates):
In: 0.000 0.000 0.500
In: 0.500 0.000 0.000
Ni: 0.500 0.500 0.500
In: 0.000 0.500 0.000
Sn: 0.000 0.000 0.000

***

[10]
Density functional theory data (PBE-GGA) for a relaxed Rb3HgS2O8 crystal.

ρ: 4.14 g cm⁻³
Energy relative to the elements, uncorrected: -1.5417 eV per atom
Space-group type: P-3m1, No. 164

Cell lengths 6.093, 6.093, 8.105 Å; angles 90.00, 90.00, 120.00 degrees
Each line ends with the local moment (μB).
Atoms (fractional coordinates):
Rb: 0.000 0.000 0.000  0.00
O: 0.602 0.801 0.278  0.01
S: 0.667 0.333 0.784  0.00
Rb: 0.667 0.333 0.314  0.00
O: 0.398 0.199 0.722  0.01
O: 0.801 0.199 0.722  0.01
Hg: 0.000 0.000 0.500  0.07
Rb: 0.333 0.667 0.686  0.00
O: 0.199 0.801 0.278  0.01
O: 0.333 0.667 0.033  0.01
O: 0.667 0.333 0.967  0.01
S: 0.333 0.667 0.216  0.00
O: 0.801 0.602 0.722  0.01
O: 0.199 0.398 0.278  0.01

***

[11]
Density functional theory data (PBE-GGA) for a relaxed KCuCl crystal.

Polymorph energy (0 for the lowest one): 79.8 meV per atom
ρ: 3.06 g cm⁻³
Energy relative to the elements, uncorrected: -0.2598 eV per atom
Space-group type: I4mm, No. 107

Cell lengths 6.547, 6.547, 6.547 Å; angles 148.81, 148.81, 44.69 degrees
Atoms (fractional coordinates):
Cl: 0.989 0.989 0.000
Cu: 0.362 0.362 0.000
K: 0.649 0.649 0.000

***

[12]
Density functional theory data (PBE-GGA) for a relaxed CaZr2Co crystal.

Polymorph energy (0 for the lowest one): 194.5 meV per atom
ρ: 5.18 g cm⁻³
Energy of formation from the pure elements: 228.4 meV per atom
Space-group type: R3m, No. 160

Cell lengths 9.572, 9.572, 9.572 Å; angles 20.06, 20.06, 20.06 degrees
Atoms (fractional coordinates):
Co: 0.741 0.741 0.741
Zr: 0.017 0.017 0.017
Ca: 0.483 0.483 0.483
Zr: 0.259 0.259 0.259

***

- Among the records above, which one has the highest ρ?
  YPuAu2

***

- Number 5 is which compound?
  Cd2AgCl

***

- Which value of ρ does entry 9 give?
  4.87 g cm⁻³

***

- Look up the ρ of the first one.
  5.46 g cm⁻³